The following is a DFT calculation (GGA-PBE) of a relaxed structure of CaNdGd4.

Cell and atoms, written as CIF:
```
data_CaNdGd4
_symmetry_space_group_name_H-M 'P 1'
_symmetry_Int_Tables_number 1
_cell_length_a 6.7229
_cell_length_b 6.7229
_cell_length_c 6.7229
_cell_angle_alpha 60.00
_cell_angle_beta 60.00
_cell_angle_gamma 60.00
loop_
_symmetry_equiv_pos_as_xyz
'x,y,z'
loop_
_atom_site_label
_atom_site_type_symbol
_atom_site_fract_x
_atom_site_fract_y
_atom_site_fract_z
Ca1 Ca 0.0000 0.0000 0.0000
Nd1 Nd 0.7500 0.7500 0.7500
Gd1 Gd 0.3767 0.3767 0.3767
Gd2 Gd 0.3767 0.3767 0.8699
Gd3 Gd 0.3767 0.8699 0.3767
Gd4 Gd 0.8699 0.3767 0.3767
```

Calculated volume ... 214.9 Å³ per cell
Formation energy ... 211 meV/atom
Symmetry ... F-43m (216)